No. 1
# FeBW3 PBE relaxed
data_FeBW3
_chemical_formula_sum 'Fe1 B1 W3'
_cell_length_a 4.136
_cell_length_b 4.136
_cell_length_c 4.136
_cell_angle_alpha 90.00
_cell_angle_beta 90.00
_cell_angle_gamma 90.00
_symmetry_space_group_name_H-M 'P m -3 m'
_symmetry_Int_Tables_number 221
_symmetry_space_group_name_Hall '-P 4 2 3'
loop_
_atom_site_label
_atom_site_type_symbol
_atom_site_fract_x
_atom_site_fract_y
_atom_site_fract_z
Fe1 Fe 0.000 0.000 0.000
B1 B 0.500 0.500 0.500
W1 W 0.000 0.500 0.500
# * total energy: -51.6 eV for the cell shown



No. 2
# ZrFeBW2 PBE relaxed
data_ZrFeBW2
_chemical_formula_sum 'Zr1 Fe1 B1 W2'
_cell_length_a 4.850
_cell_length_b 4.850
_cell_length_c 4.304
_cell_angle_alpha 90.00
_cell_angle_beta 90.00
_cell_angle_gamma 90.00
_symmetry_space_group_name_H-M 'P 4/m m m'
_symmetry_Int_Tables_number 123
_symmetry_space_group_name_Hall '-P 4 2'
loop_
_atom_site_label
_atom_site_type_symbol
_atom_site_fract_x
_atom_site_fract_y
_atom_site_fract_z
Zr1 Zr 0.000 0.000 0.000
Fe1 Fe 0.000 0.000 0.500
B1 B 0.500 0.500 0.500
W1 W 0.000 0.500 0.000
# * total energy: -33.5 eV for the cell shown



No. 3
# YFe2B PBE relaxed
data_YFe2B
_chemical_formula_sum 'Y4 Fe8 B4'
_cell_length_a 4.202
_cell_length_b 4.202
_cell_length_c 14.068
_cell_angle_alpha 90.00
_cell_angle_beta 90.00
_cell_angle_gamma 90.00
_symmetry_space_group_name_H-M 'I 41/a m d'
_symmetry_Int_Tables_number 141
loop_
_symmetry_equiv_pos_as_xyz
'x,y,z'
'-x,-y,-z'
'-y+1/4,x+3/4,z+1/4'
'y+1/4,-x+3/4,-z+1/4'
'-x+1/2,-y,z+1/2'
'x+1/2,y,-z+1/2'
'y+1/4,-x+1/4,z+3/4'
'-y+1/4,x+1/4,-z+3/4'
'x,-y,-z'
'-x,y,z'
'-y+1/4,-x+1/4,-z+3/4'
'y+1/4,x+1/4,z+3/4'
'-x+1/2,y,-z+1/2'
'x+1/2,-y,z+1/2'
'y+1/4,x+3/4,-z+1/4'
'-y+1/4,-x+3/4,z+1/4'
'x+1/2,y+1/2,z+1/2'
'-x+1/2,-y+1/2,-z+1/2'
'-y+3/4,x+1/4,z+3/4'
'y+3/4,-x+1/4,-z+3/4'
'-x,-y+1/2,z'
'x,y+1/2,-z'
'y+3/4,-x+3/4,z+1/4'
'-y+3/4,x+3/4,-z+1/4'
'x+1/2,-y+1/2,-z+1/2'
'-x+1/2,y+1/2,z+1/2'
'-y+3/4,-x+3/4,-z+1/4'
'y+3/4,x+3/4,z+1/4'
'-x,y+1/2,-z'
'x,-y+1/2,z'
'y+3/4,x+1/4,-z+3/4'
'-y+3/4,-x+1/4,z+3/4'
loop_
_atom_site_label
_atom_site_type_symbol
_atom_site_fract_x
_atom_site_fract_y
_atom_site_fract_z
Y1 Y 0.000 0.250 0.375
Fe1 Fe 0.000 0.000 0.000
B1 B 0.000 0.250 0.875
# * total energy: -117.3 eV for the cell shown



No. 4
# Y2Fe3B4 PBE relaxed
data_Y2Fe3B4
_chemical_formula_sum 'Y8 Fe12 B16'
_cell_length_a 4.967
_cell_length_b 8.410
_cell_length_c 11.238
_cell_angle_alpha 90.00
_cell_angle_beta 90.00
_cell_angle_gamma 90.00
_symmetry_space_group_name_H-M 'F m m m'
_symmetry_Int_Tables_number 69
_symmetry_space_group_name_Hall '-F 2 2'
loop_
_atom_site_label
_atom_site_type_symbol
_atom_site_fract_x
_atom_site_fract_y
_atom_site_fract_z
Y1 Y 0.000 0.000 0.153
Fe1 Fe 0.000 0.000 0.500
Fe2 Fe 0.250 0.250 0.000
B1 B 0.000 0.176 0.371
# * total energy: -259.4 eV for the cell shown



No. 5
# YFe4B4 PBE relaxed
data_YFe4B4
_chemical_formula_sum 'Y2 Fe8 B8'
_cell_length_a 6.949
_cell_length_b 6.949
_cell_length_c 3.818
_cell_angle_alpha 90.00
_cell_angle_beta 90.00
_cell_angle_gamma 90.00
_symmetry_space_group_name_H-M 'P 42/n'
_symmetry_Int_Tables_number 86
loop_
_symmetry_equiv_pos_as_xyz
'x,y,z'
'-x,-y,-z'
'-y,x+1/2,z+1/2'
'y,-x+1/2,-z+1/2'
'-x+1/2,-y+1/2,z'
'x+1/2,y+1/2,-z'
'y+1/2,-x,z+1/2'
'-y+1/2,x,-z+1/2'
loop_
_atom_site_label
_atom_site_type_symbol
_atom_site_fract_x
_atom_site_fract_y
_atom_site_fract_z
Y1 Y 0.250 0.250 0.250
Fe1 Fe 0.118 0.635 0.140
B1 B 0.051 0.917 0.143
# * total energy: -142.7 eV for the cell shown



No. 6
# Y2FeB PBE relaxed
data_Y2FeB
_chemical_formula_sum 'Y8 Fe4 B4'
_cell_length_a 6.608
_cell_length_b 6.608
_cell_length_c 6.608
_cell_angle_alpha 90.00
_cell_angle_beta 90.00
_cell_angle_gamma 90.00
_symmetry_space_group_name_H-M 'F m -3 m'
_symmetry_Int_Tables_number 225
_symmetry_space_group_name_Hall '-F 4 2 3'
loop_
_atom_site_label
_atom_site_type_symbol
_atom_site_fract_x
_atom_site_fract_y
_atom_site_fract_z
Y1 Y 0.250 0.250 0.250
Fe1 Fe 0.000 0.000 0.000
B1 B 0.000 0.000 0.500
# * total energy: -107.6 eV for the cell shown



No. 7
# YFe5B3 PBE relaxed
data_YFe5B3
_chemical_formula_sum 'Y4 Fe20 B12'
_cell_length_a 3.342
_cell_length_b 11.267
_cell_length_c 10.632
_cell_angle_alpha 90.00
_cell_angle_beta 90.00
_cell_angle_gamma 90.00
_symmetry_space_group_name_H-M 'C m c m'
_symmetry_Int_Tables_number 63
_symmetry_space_group_name_Hall '-C 2c 2'
loop_
_atom_site_label
_atom_site_type_symbol
_atom_site_fract_x
_atom_site_fract_y
_atom_site_fract_z
Y1 Y 0.000 0.163 0.250
Fe1 Fe 0.000 0.000 0.000
Fe2 Fe 0.000 0.197 0.560
Fe3 Fe 0.000 0.447 0.144
B1 B 0.000 0.126 0.750
B2 B 0.000 0.380 0.546
# * total energy: -283.8 eV for the cell shown



No. 8
# YFe2B2 PBE relaxed
data_YFe2B2
_chemical_formula_sum 'Y2 Fe4 B4'
_cell_length_a 3.777
_cell_length_b 3.777
_cell_length_c 8.560
_cell_angle_alpha 90.00
_cell_angle_beta 90.00
_cell_angle_gamma 90.00
_symmetry_space_group_name_H-M 'I 4/m m m'
_symmetry_Int_Tables_number 139
_symmetry_space_group_name_Hall '-I 4 2'
loop_
_atom_site_label
_atom_site_type_symbol
_atom_site_fract_x
_atom_site_fract_y
_atom_site_fract_z
Y1 Y 0.000 0.000 0.000
Fe1 Fe 0.000 0.000 0.329
B1 B 0.000 0.500 0.250
# * total energy: -74.5 eV for the cell shown